Model w:
Below is SmAgTe3Pb after structural relaxation, with properties calculated at the PBE level.

Structure (CIF):
```
data_SmAgTe3Pb
_chemical_formula_sum 'Sm4 Ag4 Te12 Pb4'
_cell_length_a 4.392
_cell_length_b 14.860
_cell_length_c 11.423
_cell_angle_alpha 90.00
_cell_angle_beta 90.00
_cell_angle_gamma 90.00
_symmetry_space_group_name_H-M 'C m c m'
_symmetry_Int_Tables_number 63
_symmetry_space_group_name_Hall '-C 2c 2'
loop_
_atom_site_label
_atom_site_fract_x
_atom_site_fract_y
_atom_site_fract_z
Sm1 0.000 0.000 0.000
Ag1 0.000 0.472 0.250
Te1 0.000 0.095 0.250
Te2 0.000 0.353 0.058
Pb1 0.000 0.232 0.750
```

The magnetic moment is 0.00 μB per atom.

Model x:
Below is SmAgTe3Pb after structural relaxation, with properties calculated at the PBE level.

Structure (CIF):
```
data_SmAgTe3Pb
_chemical_formula_sum 'Sm4 Ag4 Te12 Pb4'
_cell_length_a 9.142
_cell_length_b 4.611
_cell_length_c 17.998
_cell_angle_alpha 90.00
_cell_angle_beta 90.00
_cell_angle_gamma 90.00
_symmetry_space_group_name_H-M 'P n m a'
_symmetry_Int_Tables_number 62
_symmetry_space_group_name_Hall '-P 2ac 2n'
loop_
_atom_site_label
_atom_site_fract_x
_atom_site_fract_y
_atom_site_fract_z
Sm1 0.237 0.250 0.035
Ag1 0.118 0.250 0.363
Te1 0.029 0.250 0.586
Te2 0.111 0.750 0.936
Te3 0.199 0.250 0.212
Pb1 0.070 0.250 0.763
```

The magnetic moment is 0.00 μB per atom.

Of them, the most stable is model w and the least stable is model x.

Model w:
Below is SmAgTe3Pb after structural relaxation, with properties calculated at the PBE level.

Structure (CIF):
```
data_SmAgTe3Pb
_chemical_formula_sum 'Sm4 Ag4 Te12 Pb4'
_cell_length_a 11.436
_cell_length_b 4.402
_cell_length_c 14.840
_cell_angle_alpha 90.00
_cell_angle_beta 90.00
_cell_angle_gamma 90.00
_symmetry_space_group_name_H-M 'P n m a'
_symmetry_Int_Tables_number 62
_symmetry_space_group_name_Hall '-P 2ac 2n'
loop_
_atom_site_label
_atom_site_fract_x
_atom_site_fract_y
_atom_site_fract_z
Sm1 0.015 0.250 0.245
Ag1 0.240 0.250 0.723
Te1 0.043 0.250 0.607
Te2 0.074 0.750 0.100
Te3 0.237 0.750 0.845
Pb1 0.228 0.750 0.517
```

The magnetic moment is 0.00 μB per atom.

Model x:
Below is SmAgTe3Pb after structural relaxation, with properties calculated at the PBE level.

Structure (CIF):
```
data_SmAgTe3Pb
_chemical_formula_sum 'Sm4 Ag4 Te12 Pb4'
_cell_length_a 19.912
_cell_length_b 4.378
_cell_length_c 9.034
_cell_angle_alpha 90.00
_cell_angle_beta 102.32
_cell_angle_gamma 90.00
_symmetry_space_group_name_H-M 'C 1 2/m 1'
_symmetry_Int_Tables_number 12
_symmetry_space_group_name_Hall '-C 2y'
loop_
_atom_site_label
_atom_site_fract_x
_atom_site_fract_y
_atom_site_fract_z
Sm1 0.162 0.000 0.088
Ag1 0.042 0.500 0.213
Te1 0.000 0.000 0.000
Te2 0.000 0.500 0.500
Te3 0.175 0.500 0.848
Te4 0.184 0.500 0.343
Pb1 0.126 0.000 0.571
```

The magnetic moment is 0.00 μB per atom.

Of them, the most stable is model w and the least stable is model x.